one) This record from Alexandria describes a geometry-optimized NbVNO structure. The functional is PBE with a Hubbard U.

a b c (Å): 5.4124 5.4124 5.4124
angles (deg): 149.03 148.75 44.57
Fractional positions:
Nb  0.0000  0.0000  0.0000
V  0.7472  0.2472  0.5000
N  0.5831  0.5831  0.0000
O  0.3251  0.8251  0.5000

Results
**Symmetry**: No. 44
**Total moment**: 1.006 μB per formula unit



two) This record from Alexandria describes a geometry-optimized NbVNO structure. The functional is PBE with a Hubbard U.

a b c (Å): 2.9878 5.4773 5.4773
angles (deg): 30.99 90.00 90.00
Fractional positions:
Nb  0.0000  0.0000  0.0000
V  0.5000  0.7692  0.7692
N  0.5000  0.4134  0.4134
O  0.0000  0.6463  0.6463

Results
**Symmetry**: No. 38
**Total moment**: 1.535 μB per formula unit



Ranking the structures above by energy, two) is first and the second is 5 meV per atom behind.